Below is a relaxed MgNbWO6 crystal, with properties calculated at the PBE with a Hubbard U level.

It has space group P-31c (No. 163), with a = 5.2631 Å, b = 5.2631 Å, c = 9.0938 Å, α = 90.00°, β = 90.00° and γ = 120.00°. The asymmetric unit holds Mg at (0.0000, 0.0000, 0.0000), Nb at (0.3333, 0.6667, 0.2500), W at (0.3333, 0.6667, 0.7500) and O at (0.0009, 0.3477, 0.6340).

The total energy comes out at -7.7231 eV/atom.